# 1
Compound: K2AsBr5
Source: Alexandria
Functional: PBE-GGA
Structure: optimized geometry

Unit cell a=6.393 b=7.849 c=8.523 alpha=67.29 beta=68.04 gamma=66.03
Fractional positions:
K 0.000 0.000 0.000
K 0.422 0.667 0.491
As 0.181 0.333 0.246
Br 0.202 0.097 0.566
Br 0.280 0.570 0.926
Br 0.430 0.030 0.109
Br 0.799 0.332 0.247
Br 0.991 0.637 0.382

energy	-23.8	eV/cell
formation energy from raw total energies	-1.075	eV/atom
distance to the lowest polymorph of the same formula	5	meV/atom

# 2
Compound: MgOs
Source: Alexandria
Functional: PBE-GGA
Structure: optimized geometry

Unit cell a=9.591 b=9.591 c=9.591 alpha=17.12 beta=17.12 gamma=17.12
Fractional positions:
Mg 0.116 0.116 0.116
Mg 0.884 0.884 0.884
Os 0.369 0.369 0.369
Os 0.631 0.631 0.631

calculated formation energy	218	meV per atom
energy	-24.8	eV/cell

# 3
Compound: Ho3HgAu
Source: Alexandria
Functional: PBE-GGA
Structure: optimized geometry

Unit cell a=3.759 b=9.249 c=9.249 alpha=63.88 beta=90.00 gamma=90.00
Fractional positions:
Ho 0.000 0.000 0.000
Ho 0.000 0.313 0.313
Ho 0.500 0.351 0.739
Ho 0.500 0.573 0.962
Ho 0.500 0.739 0.351
Ho 0.500 0.962 0.573
Hg 0.000 0.656 0.656
Hg 0.500 0.157 0.157
Au 0.000 0.156 0.657
Au 0.000 0.657 0.156

calculated formation energy	-364	meV per atom
energy	-38.3	eV/cell

# 4
Compound: SrLi2PdF
Source: Alexandria
Functional: PBE-GGA
Structure: optimized geometry

Unit cell a=4.250 b=4.250 c=5.106 alpha=90.00 beta=90.00 gamma=90.00
Fractional positions:
Sr 0.000 0.000 0.000
Li 0.000 0.500 0.500
Li 0.500 0.000 0.500
Pd 0.500 0.500 0.000
F 0.000 0.000 0.500

energy	-19.0	eV/cell
formation energy from raw total energies	-1.278	eV/atom

# 5
Compound: Pr5SmY8
Source: Alexandria
Functional: PBE-GGA
Structure: optimized geometry

Unit cell a=8.567 b=8.567 c=8.567 alpha=111.03 beta=111.03 gamma=106.39
Fractional positions:
Pr 0.000 0.000 0.000
Pr 0.208 0.312 0.676
Pr 0.468 0.792 0.105
Pr 0.637 0.532 0.324
Pr 0.688 0.363 0.895
Sm 0.250 0.750 0.500
Y 0.163 0.423 0.093
Y 0.330 0.069 0.907
Y 0.422 0.170 0.396
Y 0.577 0.670 0.739
Y 0.773 0.026 0.604
Y 0.830 0.227 0.253
Y 0.931 0.837 0.261
Y 0.974 0.578 0.747

calculated formation energy	227	meV per atom
energy	-77.2	eV/cell

# 6
Compound: Ta3TcW
Source: Alexandria
Functional: PBE-GGA
Structure: optimized geometry

Unit cell a=4.829 b=4.892 c=8.579 alpha=96.06 beta=102.55 gamma=113.72
Fractional positions:
Ta 0.071 0.323 0.249
Ta 0.173 0.245 0.656
Ta 0.385 0.957 0.148
Ta 0.615 0.043 0.852
Ta 0.827 0.755 0.344
Ta 0.929 0.677 0.751
Tc 0.210 0.342 0.967
Tc 0.790 0.658 0.033
W 0.379 0.739 0.536
W 0.621 0.261 0.464

calculated formation energy	133	meV per atom
energy	-116.4	eV/cell
distance to the lowest polymorph of the same formula	0	meV/atom

# 7
Compound: PmMg2Ru2C
Source: Alexandria
Functional: PBE-GGA
Structure: optimized geometry

Unit cell a=4.177 b=4.177 c=5.914 alpha=90.00 beta=90.00 gamma=90.00
Fractional positions:
Pm 0.000 0.000 0.000
Mg 0.500 0.500 0.235
Mg 0.500 0.500 0.765
Ru 0.000 0.500 0.500
Ru 0.500 0.000 0.500
C 0.000 0.000 0.500

calculated formation energy	-46	meV per atom
energy	-36.0	eV/cell

# 8
Compound: Ag2Te3
Source: Alexandria
Functional: PBE-GGA
Structure: optimized geometry

Unit cell a=8.649 b=8.649 c=8.649 alpha=28.64 beta=28.64 gamma=28.64
Fractional positions:
Ag 0.102 0.102 0.102
Ag 0.898 0.898 0.898
Te 0.292 0.292 0.292
Te 0.500 0.500 0.500
Te 0.708 0.708 0.708

energy	-15.0	eV/cell
formation energy from raw total energies	0.032	eV/atom

# 9
Compound: Zr3Ir2Rh
Source: Alexandria
Functional: PBE-GGA
Structure: optimized geometry

Unit cell a=7.405 b=7.405 c=3.305 alpha=90.00 beta=90.00 gamma=143.14
Fractional positions:
Zr 0.000 0.000 0.000
Zr 0.332 0.668 0.000
Zr 0.668 0.332 0.000
Ir 0.165 0.835 0.500
Ir 0.835 0.165 0.500
Rh 0.500 0.500 0.500

calculated formation energy	-779	meV per atom
energy	-55.4	eV/cell

# 10
Compound: SrNd3P
Source: Alexandria
Functional: PBE-GGA
Structure: optimized geometry

Unit cell a=5.698 b=5.698 c=5.698 alpha=90.00 beta=90.00 gamma=90.00
Fractional positions:
Sr 0.000 0.000 0.000
Nd 0.000 0.500 0.500
Nd 0.500 0.000 0.500
Nd 0.500 0.500 0.000
P 0.500 0.500 0.500

calculated formation energy	-421	meV per atom
energy	-23.5	eV/cell

# 11
Compound: HfSn2Rh
Source: Alexandria
Functional: PBE-GGA
Structure: optimized geometry

Unit cell a=4.831 b=4.831 c=4.831 alpha=60.00 beta=60.00 gamma=60.00
Fractional positions:
Hf 0.000 0.000 0.000
Sn 0.250 0.250 0.250
Sn 0.750 0.750 0.750
Rh 0.500 0.500 0.500

calculated formation energy	-135	meV per atom
energy	-25.9	eV/cell

# 12
Compound: LaIn2P
Source: Alexandria
Functional: PBE-GGA
Structure: optimized geometry

Unit cell a=5.283 b=5.283 c=5.952 alpha=109.82 beta=109.82 gamma=45.98
Fractional positions:
La 0.000 0.000 0.000
In 0.191 0.191 0.611
In 0.427 0.427 0.404
P 0.691 0.691 0.910

calculated formation energy	-536	meV per atom
energy	-18.0	eV/cell

# 13
Compound: NaAgSn3
Source: Alexandria
Functional: PBE-GGA
Structure: optimized geometry

Unit cell a=4.756 b=4.756 c=7.077 alpha=109.60 beta=109.60 gamma=89.99
Fractional positions:
Na 0.000 0.000 0.000
Ag 0.395 0.395 0.796
Sn 0.267 0.766 0.537
Sn 0.615 0.615 0.232
Sn 0.766 0.267 0.537

calculated formation energy	-88	meV per atom
energy	-16.6	eV/cell
distance to the lowest polymorph of the same formula	0	meV/atom

# 14
Compound: NaSmGdGa
Source: Alexandria
Functional: PBE-GGA
Structure: optimized geometry

Unit cell a=5.297 b=5.297 c=5.297 alpha=60.00 beta=60.00 gamma=60.00
Fractional positions:
Na 0.000 0.000 0.000
Sm 0.250 0.250 0.250
Gd 0.750 0.750 0.750
Ga 0.500 0.500 0.500

calculated formation energy	-144	meV per atom
energy	-23.7	eV/cell

# 15
Compound: ErMn2Al10
Source: Alexandria
Functional: PBE-GGA
Structure: optimized geometry

Unit cell a=6.794 b=6.794 c=9.021 alpha=90.00 beta=90.00 gamma=97.33
Fractional positions:
Er 0.128 0.872 0.750
Er 0.872 0.128 0.250
Mn 0.000 0.500 0.000
Mn 0.000 0.500 0.500
Mn 0.500 0.000 0.000
Mn 0.500 0.000 0.500
Al 0.134 0.413 0.750
Al 0.154 0.846 0.096
Al 0.154 0.846 0.404
Al 0.216 0.476 0.250
Al 0.229 0.229 0.000
Al 0.229 0.229 0.500
Al 0.374 0.626 0.543
Al 0.374 0.626 0.957
Al 0.413 0.134 0.250
Al 0.476 0.216 0.750
Al 0.524 0.784 0.250
Al 0.587 0.866 0.750
Al 0.626 0.374 0.043
Al 0.626 0.374 0.457
Al 0.771 0.771 0.000
Al 0.771 0.771 0.500
Al 0.784 0.524 0.750
Al 0.846 0.154 0.596
Al 0.846 0.154 0.904
Al 0.866 0.587 0.250

calculated formation energy	-297	meV per atom
energy	-128.4	eV/cell

# 16
Compound: PrHSe
Source: Alexandria
Functional: PBE-GGA
Structure: optimized geometry

Unit cell a=4.953 b=4.953 c=4.953 alpha=132.69 beta=132.69 gamma=69.13
Fractional positions:
Pr 0.000 0.000 0.000
H 0.719 0.719 0.000
Se 0.369 0.369 0.000

energy	-14.4	eV/cell

# 17
Compound: SrHgW2
Source: Alexandria
Functional: PBE-GGA
Structure: optimized geometry

Unit cell a=5.885 b=5.885 c=5.885 alpha=139.32 beta=139.32 gamma=58.88
Fractional positions:
Sr 0.000 0.000 0.000
Hg 0.500 0.500 0.000
W 0.250 0.750 0.500
W 0.750 0.250 0.500

calculated formation energy	1209	meV per atom
energy	-23.1	eV/cell

# 18
Compound: Sc2Hg2Se
Source: Alexandria
Functional: PBE-GGA
Structure: optimized geometry

Unit cell a=7.081 b=7.081 c=4.665 alpha=90.00 beta=90.00 gamma=90.00
Fractional positions:
Sc 0.166 0.334 0.000
Sc 0.334 0.834 0.000
Sc 0.666 0.166 0.000
Sc 0.834 0.666 0.000
Hg 0.145 0.645 0.500
Hg 0.355 0.145 0.500
Hg 0.645 0.855 0.500
Hg 0.855 0.355 0.500
Se 0.000 0.000 0.000
Se 0.500 0.500 0.000

energy	-40.3	eV/cell
formation energy from raw total energies	-0.677	eV/atom
distance to the lowest polymorph of the same formula	0	meV/atom

# 19
Compound: NbHgTeI2
Source: Alexandria
Functional: PBE-GGA
Structure: optimized geometry

Unit cell a=5.698 b=5.698 c=5.396 alpha=90.00 beta=90.00 gamma=90.00
Fractional positions:
Nb 0.000 0.000 0.000
Hg 0.500 0.500 0.500
Te 0.000 0.000 0.500
I 0.000 0.500 0.000
I 0.500 0.000 0.000

energy	-16.8	eV/cell
formation energy from raw total energies	-0.031	eV/atom
distance to the lowest polymorph of the same formula	0	meV/atom

# 20
Compound: PmTm3Ru
Source: Alexandria
Functional: PBE-GGA
Structure: optimized geometry

Unit cell a=7.175 b=7.175 c=8.016 alpha=123.23 beta=123.23 gamma=71.88
Fractional positions:
Pm 0.053 0.053 0.337
Pm 0.947 0.947 0.663
Tm 0.060 0.456 0.210
Tm 0.444 0.444 0.744
Tm 0.456 0.060 0.210
Tm 0.544 0.940 0.790
Tm 0.556 0.556 0.256
Tm 0.940 0.544 0.790
Ru 0.254 0.254 0.893
Ru 0.746 0.746 0.107

calculated formation energy	-210	meV per atom
energy	-57.0	eV/cell
distance to the lowest polymorph of the same formula	63	meV/atom

# 21
Compound: Ba8PSe3S3
Source: Alexandria
Functional: PBE-GGA
Structure: optimized geometry

Unit cell a=9.336 b=9.336 c=9.336 alpha=59.63 beta=59.63 gamma=59.63
Fractional positions:
Ba 0.247 0.247 0.247
Ba 0.254 0.741 0.741
Ba 0.259 0.259 0.746
Ba 0.259 0.746 0.259
Ba 0.741 0.254 0.741
Ba 0.741 0.741 0.254
Ba 0.746 0.259 0.259
Ba 0.753 0.753 0.753
P 0.500 0.500 0.500
Se 0.000 0.500 0.500
Se 0.500 0.000 0.500
Se 0.500 0.500 0.000
S 0.000 0.000 0.500
S 0.000 0.500 0.000
S 0.500 0.000 0.000

energy	-70.7	eV/cell
formation energy from raw total energies	-1.808	eV/atom

# 22
Compound: SrCa2PN
Source: Alexandria
Functional: PBE-GGA
Structure: optimized geometry

Unit cell a=4.750 b=4.750 c=5.064 alpha=90.00 beta=90.00 gamma=90.00
Fractional positions:
Sr 0.000 0.000 0.000
Ca 0.000 0.500 0.500
Ca 0.500 0.000 0.500
P 0.500 0.500 0.000
N 0.000 0.000 0.500

energy	-24.1	eV/cell
formation energy from raw total energies	-0.928	eV/atom

# 23
Compound: PrEr6Tm2
Source: Alexandria
Functional: PBE-GGA
Structure: optimized geometry

Unit cell a=8.752 b=8.752 c=11.822 alpha=128.31 beta=128.31 gamma=23.46
Fractional positions:
Pr 0.000 0.000 0.000
Er 0.038 0.038 0.739
Er 0.332 0.332 0.664
Er 0.371 0.371 0.408
Er 0.629 0.629 0.592
Er 0.668 0.668 0.336
Er 0.962 0.962 0.261
Tm 0.295 0.295 0.926
Tm 0.705 0.705 0.074

calculated formation energy	0	meV per atom
energy	-41.1	eV/cell
distance to the lowest polymorph of the same formula	0	meV/atom

# 24
Compound: Ti6ZnSb
Source: Alexandria
Functional: PBE-GGA
Structure: optimized geometry

Unit cell a=5.781 b=5.781 c=4.719 alpha=90.00 beta=90.00 gamma=120.00
Fractional positions:
Ti 0.001 0.500 0.000
Ti 0.334 0.167 0.500
Ti 0.500 0.500 0.000
Ti 0.500 0.999 0.000
Ti 0.833 0.167 0.500
Ti 0.833 0.666 0.500
Zn 0.333 0.667 0.500
Sb 0.000 0.000 0.000

energy	-54.7	eV/cell
formation energy from raw total energies	-0.238	eV/atom

# 25
Compound: PmCoPb
Source: Alexandria
Functional: PBE-GGA
Structure: optimized geometry

Unit cell a=4.619 b=4.619 c=3.758 alpha=90.00 beta=90.00 gamma=120.00
Fractional positions:
Pm 0.000 0.000 0.000
Co 0.667 0.333 0.500
Pb 0.333 0.667 0.500

calculated formation energy	-118	meV per atom
energy	-15.9	eV/cell
distance to the lowest polymorph of the same formula	100	meV/atom